1.
{"formula": "Be2VCrAu", "functional": "PBE", "state": "optimized geometry", "lattice": [[4.223, 0.000, 0.000], [0.000, 3.987, 0.000], [0.000, 0.000, 4.223]], "species": ["V", "Be", "Be", "Cr", "Au"], "fractional_positions": [[0.000, 0.500, 0.000], [0.000, 0.000, 0.500], [0.500, 0.000, 0.000], [0.000, 0.000, 0.000], [0.500, 0.500, 0.500]], "ef_ev_per_atom": 0.85, "total_energy_ev_per_cell": -25.2}

=====

2.
{"formula": "BeZnCr2Au", "functional": "PBE", "state": "optimized geometry", "lattice": [[5.041, 0.000, 0.000], [0.000, 4.241, 0.000], [0.000, 0.000, 5.041]], "species": ["Au", "Cr", "Cr", "Be", "Zn"], "fractional_positions": [[0.000, 0.000, 0.000], [0.000, 0.000, 0.500], [0.500, 0.000, 0.000], [0.000, 0.500, 0.000], [0.500, 0.500, 0.500]], "ef_ev_per_atom": 1.01, "total_energy_ev_per_cell": -22.5}